Computed, not measured: a geometry-optimized Pm2TaSi4Ni3 structure at the PBE-GGA level of DFT.

Its formation energy (no corrections) is -0.718 eV/atom. The value obtained for the volume is 16.6 Å³ per atom. The crystal system is tetragonal. The total magnetization is 0.000 μB/atom.

```
data_Pm2TaSi4Ni3
_chemical_formula_sum 'Pm2 Ta1 Si4 Ni3'
_symmetry_space_group_name_H-M 'P -4 m 2'
_symmetry_Int_Tables_number 115
_cell_length_a 4.040
_cell_length_b 4.040
_cell_length_c 10.164
_cell_angle_alpha 90.00
_cell_angle_beta 90.00
_cell_angle_gamma 90.00
loop_
_symmetry_equiv_pos_as_xyz
'x,y,z'
'y,-x,-z'
'-x,-y,z'
'-y,x,-z'
'-x,y,z'
'-y,-x,-z'
'x,-y,z'
'y,x,-z'
loop_
_atom_site_label
_atom_site_type_symbol
_atom_site_fract_x
_atom_site_fract_y
_atom_site_fract_z
Pm1 Pm 0.000 0.500 0.232
Ta1 Ta 0.000 0.000 0.500
Si1 Si 0.000 0.000 0.000
Si2 Si 0.000 0.500 0.653
Si3 Si 0.500 0.500 0.000
Ni1 Ni 0.000 0.500 0.886
Ni2 Ni 0.500 0.500 0.500
```